# NaTbYTl

A relaxed structure of NaTbYTl (PBE, Alexandria via LeMat-Bulk).

POSCAR file:
```
NaTbYTl
1.0
-2.3601 4.6339 -1.5142
-3.5292 2.4465 3.3008
1.3443 4.6464 2.4372
Tl Na Y Tb
1 1 1 1
Direct
0.2500 0.2500 0.2500 Tl
0.7500 0.7500 0.7500 Na
0.0000 0.0000 0.0000 Y
0.5000 0.5000 0.5000 Tb
```

Values from the calculation:
- Final energy: -3.77 eV/atom
- Calculated formation energy: -0.07 eV/atom
- Crystal system: cubic

# Pb5Cl3F12

A relaxed structure of Pb5Cl3F12 (PBE, Alexandria via LeMat-Bulk).

POSCAR file:
```
Pb5Cl3F12
1.0
-2.1911 11.1391 6.8427
-1.3680 -10.4586 8.0281
12.2978 0.1974 -4.9426
Cl F Pb
12 48 20
Direct
0.3750 0.6250 0.2500 Cl
0.8750 0.7500 0.1250 Cl
0.7500 0.3750 0.1250 Cl
0.2500 0.1250 0.3750 Cl
0.1250 0.2500 0.8750 Cl
0.7500 0.8750 0.6250 Cl
0.8750 0.1250 0.2500 Cl
0.3750 0.7500 0.6250 Cl
0.1250 0.8750 0.7500 Cl
0.6250 0.3750 0.7500 Cl
0.6250 0.2500 0.3750 Cl
0.2500 0.6250 0.8750 Cl
0.4951 0.1683 0.0694 F
0.5989 0.9306 0.4256 F
0.6733 0.5049 0.5744 F
0.1683 0.6733 0.0989 F
0.8317 0.3267 0.9011 F
0.5744 0.0049 0.6733 F
0.9256 0.0989 0.9306 F
0.0049 0.4306 0.3317 F
0.0989 0.1733 0.1683 F
0.4011 0.3317 0.3267 F
0.3267 0.4951 0.4256 F
0.0694 0.6683 0.4951 F
0.5744 0.5694 0.4011 F
0.5694 0.5744 0.9011 F
0.0744 0.9011 0.0694 F
0.4951 0.3267 0.9256 F
0.4011 0.0694 0.5744 F
0.0744 0.1733 0.5049 F
0.9306 0.3317 0.5049 F
0.3317 0.9306 0.0049 F
0.5989 0.6683 0.6733 F
0.1733 0.0989 0.6683 F
0.5049 0.6733 0.0744 F
0.0049 0.5744 0.1733 F
0.0989 0.9256 0.4306 F
0.4256 0.9951 0.3267 F
0.6683 0.5989 0.1733 F
0.3267 0.8317 0.4011 F
0.9951 0.5694 0.6683 F
0.8317 0.5049 0.4306 F
0.1683 0.4951 0.5694 F
0.9011 0.0744 0.5694 F
0.4256 0.4306 0.5989 F
0.1733 0.0744 0.0049 F
0.8267 0.9256 0.9951 F
0.9951 0.4256 0.8267 F
0.5694 0.9951 0.1683 F
0.9256 0.8267 0.4951 F
0.6733 0.1683 0.5989 F
0.4306 0.0049 0.8317 F
0.9306 0.5989 0.9256 F
0.4306 0.4256 0.0989 F
0.5049 0.8317 0.9306 F
0.9011 0.8267 0.8317 F
0.3317 0.4011 0.8267 F
0.6683 0.0694 0.9951 F
0.0694 0.4011 0.0744 F
0.8267 0.9011 0.3317 F
0.1250 0.3750 0.2500 Pb
0.5000 0.0000 0.5000 Pb
0.0000 0.0000 0.0000 Pb
0.0000 0.5000 0.0000 Pb
0.6250 0.7500 0.8750 Pb
0.0000 0.5000 0.5000 Pb
0.3750 0.2500 0.1250 Pb
0.3750 0.1250 0.7500 Pb
0.0000 0.0000 0.5000 Pb
0.1250 0.7500 0.3750 Pb
0.2500 0.3750 0.6250 Pb
0.2500 0.8750 0.1250 Pb
0.7500 0.6250 0.3750 Pb
0.5000 0.5000 0.0000 Pb
0.7500 0.1250 0.8750 Pb
0.6250 0.8750 0.2500 Pb
0.5000 0.5000 0.5000 Pb
0.8750 0.2500 0.6250 Pb
0.8750 0.6250 0.7500 Pb
0.5000 0.0000 0.0000 Pb
```

Values from the calculation:
- Final energy: -3.96 eV/atom
- ΔE_f (raw): -1.63 eV per atom
- Crystal system: cubic

# Th2MgRu

A relaxed structure of Th2MgRu (PBE, Alexandria via LeMat-Bulk).

POSCAR file:
```
Th2MgRu
1.0
3.9971 -0.0081 0.0041
-2.0053 3.4758 -0.0103
0.0042 -2.2891 8.5584
Th Mg Ru
2 1 1
Direct
0.8553 0.4679 0.3657 Th
0.3129 0.3817 0.7389 Th
0.0842 0.9245 0.0520 Mg
0.5842 0.9248 0.5524 Ru
```

Values from the calculation:
- Final energy: -6.59 eV/atom
- Calculated formation energy: -0.16 eV/atom
- Crystal system: monoclinic

# OsSeN

A relaxed structure of OsSeN (PBE, Alexandria via LeMat-Bulk).

POSCAR file:
```
OsSeN
1.0
-0.9012 1.1852 2.8823
-3.3959 -0.8700 -0.7041
1.2461 -5.6508 0.9721
Os N Se
1 1 1
Direct
0.7288 0.0000 0.9552 Os
0.3022 0.0000 0.1093 N
0.5947 0.5000 0.6741 Se
```

Values from the calculation:
- Final energy: -7.24 eV/atom
- Energy above the most stable polymorph in this dataset: 0.13 eV/f.u.
- ΔE_f (raw): 0.44 eV per atom
- Crystal system: monoclinic

# Tb2InOs

A relaxed structure of Tb2InOs (PBE, Alexandria via LeMat-Bulk).

POSCAR file:
```
Tb2InOs
1.0
-0.6489 -3.3764 0.0956
2.9547 -0.6146 -1.6499
3.8444 -0.5382 7.0852
Tb In Os
2 1 1
Direct
0.0000 0.0000 0.7941 Tb
0.0000 0.0000 0.2059 Tb
0.5000 0.5000 0.5000 In
0.5000 0.5000 0.0000 Os
```

Values from the calculation:
- Final energy: -6.15 eV/atom
- Energy above the most stable polymorph in this dataset: 0.00 eV/f.u.
- Calculated formation energy: -0.34 eV/atom
- Crystal system: tetragonal

# CaNb3Hg

A relaxed structure of CaNb3Hg (PBE, Alexandria via LeMat-Bulk).

POSCAR file:
```
CaNb3Hg
1.0
-2.2429 -3.7831 -1.8712
3.1846 -2.9076 2.0611
-2.7697 -0.2796 3.8852
Nb Hg Ca
3 1 1
Direct
0.0000 0.5000 0.0000 Nb
0.0000 0.0000 0.5000 Nb
0.5000 0.0000 0.0000 Nb
0.5000 0.5000 0.5000 Hg
0.0000 0.0000 0.0000 Ca
```

Values from the calculation:
- Final energy: -4.38 eV/atom
- Energy above the most stable polymorph in this dataset: 2.49 eV/f.u.
- Calculated formation energy: 2.12 eV/atom
- Crystal system: cubic

# CsBiOsO6

A relaxed structure of CsBiOsO6 (PBE, Alexandria via LeMat-Bulk).

POSCAR file:
```
CsBiOsO6
1.0
-4.9120 -5.7609 2.0584
-1.8446 -1.0056 -7.2163
7.3413 -0.1803 2.0626
O Bi Os Cs
12 2 2 2
Direct
0.7938 0.1041 0.2468 O
0.5230 0.2730 0.0459 O
0.7938 0.6426 0.2468 O
0.1625 0.9125 0.3250 O
0.4770 0.7270 0.9541 O
0.4529 0.6426 0.2468 O
0.8375 0.0875 0.6750 O
0.4529 0.1041 0.2468 O
0.2062 0.3574 0.7532 O
0.5471 0.8959 0.7532 O
0.5471 0.3574 0.7532 O
0.2062 0.8959 0.7532 O
0.0000 0.0000 0.5000 Bi
0.5000 0.0000 0.5000 Bi
0.5000 0.0000 0.0000 Os
0.5000 0.5000 0.0000 Os
0.8620 0.6120 0.7240 Cs
0.1380 0.3880 0.2760 Cs
```

Values from the calculation:
- Final energy: -6.20 eV/atom
- ΔE_f (raw): -1.13 eV per atom
- Crystal system: orthorhombic

# TiOs

A relaxed structure of TiOs (PBE, Alexandria via LeMat-Bulk).

POSCAR file:
```
TiOs
1.0
7.5674 0.0000 0.0000
0.0000 7.5674 0.0000
0.0000 0.0000 4.6837
Os Ti
8 8
Direct
0.4090 0.2448 0.5000 Os
0.2448 0.5910 0.5000 Os
0.5910 0.2448 0.0000 Os
0.4090 0.7552 0.0000 Os
0.5910 0.7552 0.5000 Os
0.7552 0.5910 0.0000 Os
0.2448 0.4090 0.0000 Os
0.7552 0.4090 0.5000 Os
0.7029 0.9199 0.0000 Ti
0.2971 0.9199 0.5000 Ti
0.9199 0.7029 0.5000 Ti
0.9199 0.2971 0.0000 Ti
0.0801 0.2971 0.5000 Ti
0.0801 0.7029 0.0000 Ti
0.7029 0.0801 0.5000 Ti
0.2971 0.0801 0.0000 Ti
```

Values from the calculation:
- Final energy: -9.55 eV/atom
- Calculated formation energy: 0.01 eV/atom
- Crystal system: tetragonal

- What is the final energy in the seventh record?
  -6.20 eV/atom